Below is a relaxed K3Sc2Cl9 crystal, with properties calculated at the PBE level.

abc: 12.4092 12.4092 18.1641
angles: 90.00 90.00 120.00
Space group R-3c (No. 167, hexagonal axes)
Symmetry-distinct sites (fractional):
K: 0.0000 0.3340 0.2500 [18 per cell]
Sc: 0.0000 0.0000 0.1531 [12 per cell]
Cl: 0.0000 0.1556 0.7500 [18 per cell]
Cl: 0.0066 0.1747 0.4087 [36 per cell]

V, Å³ per cell: 2422
Magnetic moment, μB/atom: 0.0000
Total energy, Ry/atom: -0.3230

---

Below is a relaxed KPuI2 crystal, with properties calculated at the PBE level.

abc: 3.975 3.975 8.552
angles: 90.00 90.00 90.00
Space group P4/mmm (No. 123)
Symmetry-distinct sites (fractional):
K: 0.000 0.000 0.000 [1 per cell]
Pu: 0.000 0.000 0.500 [1 per cell]
I: 0.500 0.500 0.273 [2 per cell]

Distance to the lowest polymorph of the same formula, meV per atom: 0
V, Å³ per cell: 135
Magnetic moment, μB/atom: 1.7318